(1)
A relaxed Sr4Zn2P crystal, computed with PBE.

Values from the calculation:
Fermi-level density of states in states/eV/cell: 15.157
Space-group type: I4/mmm (139)
DFT formation energy in eV/atom: -0.309

Cell lengths 6.043, 6.043, 14.973 Å; angles 90.00, 90.00, 90.00 degrees
Positions (direct):
1 Sr 0.000 0.000 0.196
2 Sr 0.000 0.000 0.804
3 Sr 0.000 0.500 0.000
4 Sr 0.000 0.500 0.500
5 Sr 0.500 0.000 0.000
6 Sr 0.500 0.000 0.500
7 Sr 0.500 0.500 0.304
8 Sr 0.500 0.500 0.696
9 Zn 0.000 0.000 0.412
10 Zn 0.000 0.000 0.588
11 Zn 0.500 0.500 0.088
12 Zn 0.500 0.500 0.912
13 P 0.000 0.000 0.000
14 P 0.500 0.500 0.500


(2)
A relaxed Sr2Zn2P crystal, computed with PBE.

Values from the calculation:
Fermi-level density of states in states/eV/cell: 7.539
Space-group type: I4/mmm (139)
DFT formation energy in eV/atom: -0.423

Cell lengths 3.754, 3.754, 18.909 Å; angles 90.00, 90.00, 90.00 degrees
Positions (direct):
1 Sr 0.000 0.000 0.089
2 Sr 0.000 0.000 0.911
3 Sr 0.500 0.500 0.411
4 Sr 0.500 0.500 0.589
5 Zn 0.000 0.500 0.250
6 Zn 0.000 0.500 0.750
7 Zn 0.500 0.000 0.250
8 Zn 0.500 0.000 0.750
9 P 0.000 0.000 0.500
10 P 0.500 0.500 0.000


(3)
A relaxed SrZn2P crystal, computed with PBE.

Values from the calculation:
Fermi-level density of states in states/eV/cell: 1.185
Space-group type: P4mm (99)
DFT formation energy in eV/atom: -0.198

Cell lengths 3.578, 3.578, 6.676 Å; angles 90.00, 90.00, 90.00 degrees
Positions (direct):
1 Sr 0.000 0.000 0.000
2 Zn 0.000 0.000 0.536
3 Zn 0.500 0.500 0.342
4 P 0.500 0.500 0.706


(4)
A relaxed SrZnP2 crystal, computed with PBE.

Values from the calculation:
Fermi-level density of states in states/eV/cell: 1.765
Space-group type: Imm2 (44)
DFT formation energy in eV/atom: -0.258

Cell lengths 3.628, 5.075, 9.547 Å; angles 90.00, 90.00, 90.00 degrees
Positions (direct):
1 Sr 0.000 0.000 0.000
2 Sr 0.500 0.500 0.500
3 Zn 0.000 0.500 0.795
4 Zn 0.500 0.000 0.295
5 P 0.000 0.000 0.553
6 P 0.000 0.500 0.203
7 P 0.500 0.000 0.703
8 P 0.500 0.500 0.053


(5)
A relaxed SrZn2P crystal, computed with PBE.

Values from the calculation:
Fermi-level density of states in states/eV/cell: 2.731
Space-group type: C2/m (12)
DFT formation energy in eV/atom: -0.212

Cell lengths 9.193, 3.823, 5.343 Å; angles 90.00, 108.66, 90.00 degrees
Positions (direct):
1 Sr 0.000 0.000 0.000
2 Sr 0.500 0.500 0.000
3 Zn 0.208 0.000 0.638
4 Zn 0.292 0.500 0.362
5 Zn 0.708 0.500 0.638
6 Zn 0.792 0.000 0.362
7 P 0.000 0.500 0.500
8 P 0.500 0.000 0.500


(6)
A relaxed SrZnP2 crystal, computed with PBE.

Values from the calculation:
Fermi-level density of states in states/eV/cell: 4.046
Space-group type: R-3m (166)
DFT formation energy in eV/atom: -0.307

Cell lengths 4.349, 4.349, 15.481 Å; angles 90.00, 90.00, 120.00 degrees
Positions (direct):
1 Sr 0.000 0.000 0.000
2 Sr 0.333 0.667 0.667
3 Sr 0.667 0.333 0.333
4 Zn 0.000 0.000 0.500
5 Zn 0.333 0.667 0.167
6 Zn 0.667 0.333 0.833
7 P 0.000 0.000 0.203
8 P 0.000 0.000 0.797
9 P 0.333 0.667 0.464
10 P 0.333 0.667 0.869
11 P 0.667 0.333 0.131
12 P 0.667 0.333 0.536


(7)
A relaxed SrZn2P crystal, computed with PBE.

Values from the calculation:
Fermi-level density of states in states/eV/cell: 7.992
Space-group type: R-3m (166)
DFT formation energy in eV/atom: -0.206

Cell lengths 4.112, 4.112, 18.874 Å; angles 90.00, 90.00, 120.00 degrees
Positions (direct):
1 Sr 0.000 0.000 0.000
2 Sr 0.333 0.667 0.667
3 Sr 0.667 0.333 0.333
4 Zn 0.000 0.000 0.219
5 Zn 0.000 0.000 0.781
6 Zn 0.333 0.667 0.448
7 Zn 0.333 0.667 0.886
8 Zn 0.667 0.333 0.114
9 Zn 0.667 0.333 0.552
10 P 0.000 0.000 0.500
11 P 0.333 0.667 0.167
12 P 0.667 0.333 0.833


(8)
A relaxed SrZnP2 crystal, computed with PBE.

Values from the calculation:
Fermi-level density of states in states/eV/cell: 1.573
Space-group type: Cm (8)
DFT formation energy in eV/atom: -0.350

Cell lengths 11.808, 3.768, 3.971 Å; angles 90.00, 99.07, 90.00 degrees
Positions (direct):
1 Sr 0.000 0.000 0.000
2 Sr 0.500 0.500 0.000
3 Zn 0.261 0.000 0.851
4 Zn 0.761 0.500 0.851
5 P 0.122 0.500 0.548
6 P 0.290 0.500 0.378
7 P 0.622 0.000 0.548
8 P 0.790 0.000 0.378


(9)
A relaxed SrZn2P crystal, computed with PBE.

Values from the calculation:
Fermi-level density of states in states/eV/cell: 5.906
Space-group type: F-43m (216)
DFT formation energy in eV/atom: -0.113

Cell lengths 7.077, 7.077, 7.077 Å; angles 90.00, 90.00, 90.00 degrees
Positions (direct):
1 Sr 0.000 0.000 0.000
2 Sr 0.000 0.500 0.500
3 Sr 0.500 0.000 0.500
4 Sr 0.500 0.500 0.000
5 Zn 0.000 0.000 0.500
6 Zn 0.000 0.500 0.000
7 Zn 0.250 0.250 0.250
8 Zn 0.250 0.750 0.750
9 Zn 0.500 0.000 0.000
10 Zn 0.500 0.500 0.500
11 Zn 0.750 0.250 0.750
12 Zn 0.750 0.750 0.250
13 P 0.250 0.250 0.750
14 P 0.250 0.750 0.250
15 P 0.750 0.250 0.250
16 P 0.750 0.750 0.750


(10)
A relaxed SrZnP2 crystal, computed with PBE.

Values from the calculation:
Fermi-level density of states in states/eV/cell: 15.669
Space-group type: F-43m (216)
DFT formation energy in eV/atom: 0.134

Cell lengths 6.957, 6.957, 6.957 Å; angles 90.00, 90.00, 90.00 degrees
Positions (direct):
1 Sr 0.000 0.000 0.000
2 Sr 0.000 0.500 0.500
3 Sr 0.500 0.000 0.500
4 Sr 0.500 0.500 0.000
5 Zn 0.250 0.250 0.750
6 Zn 0.250 0.750 0.250
7 Zn 0.750 0.250 0.250
8 Zn 0.750 0.750 0.750
9 P 0.000 0.000 0.500
10 P 0.000 0.500 0.000
11 P 0.250 0.250 0.250
12 P 0.250 0.750 0.750
13 P 0.500 0.000 0.000
14 P 0.500 0.500 0.500
15 P 0.750 0.250 0.750
16 P 0.750 0.750 0.250


(11)
A relaxed SrZnP2 crystal, computed with PBE.

Values from the calculation:
Fermi-level density of states in states/eV/cell: 3.156
Space-group type: R3m (160)
DFT formation energy in eV/atom: -0.221

Cell lengths 4.328, 4.328, 15.781 Å; angles 90.00, 90.00, 120.00 degrees
Positions (direct):
1 Sr 0.000 0.000 0.000
2 Sr 0.333 0.667 0.667
3 Sr 0.667 0.333 0.333
4 Zn 0.000 0.000 0.789
5 Zn 0.333 0.667 0.456
6 Zn 0.667 0.333 0.122
7 P 0.000 0.000 0.205
8 P 0.000 0.000 0.499
9 P 0.333 0.667 0.166
10 P 0.333 0.667 0.871
11 P 0.667 0.333 0.538
12 P 0.667 0.333 0.832


(12)
A relaxed SrZn2P2 crystal, computed with PBE.

Values from the calculation:
Fermi-level density of states in states/eV/cell: 2.324
Space-group type: P4/mbm (127)
DFT formation energy in eV/atom: -0.146

Cell lengths 7.609, 7.609, 3.299 Å; angles 90.00, 90.00, 90.00 degrees
Positions (direct):
1 Sr 0.000 0.000 0.000
2 Sr 0.500 0.500 0.000
3 Zn 0.116 0.384 0.000
4 Zn 0.384 0.884 0.000
5 Zn 0.616 0.116 0.000
6 Zn 0.884 0.616 0.000
7 P 0.187 0.687 0.500
8 P 0.313 0.187 0.500
9 P 0.687 0.813 0.500
10 P 0.813 0.313 0.500


(13)
A relaxed SrZnP2 crystal, computed with PBE.

Values from the calculation:
Fermi-level density of states in states/eV/cell: 3.261
Space-group type: C2/m (12)
DFT formation energy in eV/atom: -0.136

Cell lengths 6.297, 6.346, 4.066 Å; angles 90.00, 90.14, 90.00 degrees
Positions (direct):
1 Sr 0.000 0.000 0.000
2 Sr 0.500 0.500 0.000
3 Zn 0.000 0.500 0.000
4 Zn 0.500 0.000 0.000
5 P 0.250 0.250 0.500
6 P 0.250 0.750 0.500
7 P 0.750 0.250 0.500
8 P 0.750 0.750 0.500


(14)
A relaxed SrZnP2 crystal, computed with PBE.

Values from the calculation:
Fermi-level density of states in states/eV/cell: 1.001
Space-group type: Pnma (62)
DFT formation energy in eV/atom: -0.658

Cell lengths 21.789, 3.876, 4.036 Å; angles 90.00, 90.00, 90.00 degrees
Positions (direct):
1 Sr 0.110 0.250 0.192
2 Sr 0.390 0.750 0.692
3 Sr 0.610 0.250 0.308
4 Sr 0.890 0.750 0.808
5 Zn 0.250 0.250 0.691
6 Zn 0.250 0.750 0.191
7 Zn 0.750 0.250 0.809
8 Zn 0.750 0.750 0.309
9 P 0.003 0.250 0.674
10 P 0.181 0.750 0.691
11 P 0.319 0.250 0.191
12 P 0.497 0.750 0.174
13 P 0.503 0.250 0.826
14 P 0.681 0.750 0.809
15 P 0.819 0.250 0.309
16 P 0.997 0.750 0.326